Material: SrAsIr2
Method: DFT, SCAN
State: single point on PBEsol structure

Output
As for the energy of formation from the pure elements: 0.4055 eV/atom.

a b c (Å): 4.811 4.811 3.114
angles (deg): 90.00 90.00 102.59
Sites, in units of the cell vectors:
Sr: 0.000 0.000 0.000
As: 0.500 0.500 0.000
Ir: 0.000 0.500 0.500
Ir: 0.500 0.000 0.500